{
  "formula": "Zr2Al3Si",
  "functional": "GGA-PBEsol",
  "state": "optimized geometry",
  "cell": [[-2.2839, 3.1926, 0.5302], [-2.6689, -1.4489, -2.7721], [-4.4744, -3.7338, 3.2101]],
  "species": ["Al", "Al", "Al", "Zr", "Zr", "Si"],
  "fractional_positions": [[0.0000, 0.3248, 0.3504], [0.0000, 0.6752, 0.6496], [0.5000, 0.5000, 0.0000], [0.5000, 0.1464, 0.7072], [0.5000, 0.8536, 0.2928], [0.0000, 0.0000, 0.0000]],
  "energy_ev_per_atom": -6.573,
  "crystal_system": "orthorhombic",
  "m_tot_mub_per_cell": 0.00,
  "density_g_cm3": 4.7,
  "e_form_raw_ev_per_atom": -0.54,
  "sg": "Cmmm, No. 65",
  "dos_at_fermi_per_ev_cell": 2.11,
  "e_above_lowest_polymorph_ev_per_atom": 0.000
}

{
  "formula": "ZrAl2Si",
  "functional": "GGA-PBEsol",
  "state": "optimized geometry",
  "cell": [[-1.7783, -0.1338, 3.2983], [3.1030, -2.0342, -0.5408], [3.5100, 4.7994, 2.0871]],
  "species": ["Al", "Al", "Si", "Zr"],
  "fractional_positions": [[0.6667, 0.3333, 0.7081], [0.0000, 0.0000, 0.4413], [0.6667, 0.3333, 0.2775], [0.3333, 0.6667, 0.0282]],
  "energy_ev_per_atom": -5.762,
  "crystal_system": "trigonal",
  "m_tot_mub_per_cell": 0.00,
  "density_g_cm3": 3.8,
  "e_form_raw_ev_per_atom": -0.01,
  "sg": "P3m1, No. 156",
  "dos_at_fermi_per_ev_cell": 2.26
}

{
  "formula": "Zr3Al3Si2",
  "functional": "GGA-PBEsol",
  "state": "optimized geometry",
  "cell": [[3.0631, 0.0000, 0.0000], [0.0000, 7.2690, 0.0000], [0.0000, -3.6345, 6.2951]],
  "species": ["Zr", "Zr", "Zr", "Al", "Al", "Al", "Si", "Si"],
  "fractional_positions": [[0.0000, 0.0000, 0.7524], [0.0000, 0.2476, 0.2476], [0.0000, 0.7524, 0.0000], [0.5000, 0.0000, 0.4048], [0.5000, 0.5952, 0.5952], [0.5000, 0.4048, 0.0000], [0.0000, 0.3333, 0.6667], [0.0000, 0.6667, 0.3333]],
  "energy_ev_per_atom": -6.644,
  "crystal_system": "hexagonal",
  "m_tot_mub_per_cell": 0.00,
  "density_g_cm3": 4.9,
  "e_form_raw_ev_per_atom": -0.26,
  "sg": "P-62m, No. 189",
  "dos_at_fermi_per_ev_cell": 7.22,
  "e_above_lowest_polymorph_ev_per_atom": 0.416
}

{
  "formula": "Zr3Al3Si2",
  "functional": "GGA-PBEsol",
  "state": "optimized geometry",
  "cell": [[-1.7727, -3.1758, 0.8794], [4.0082, -3.3381, -3.9753], [1.5972, 0.8540, 6.3033]],
  "species": ["Al", "Al", "Al", "Zr", "Zr", "Zr", "Si", "Si"],
  "fractional_positions": [[0.0000, 0.2447, 0.2447], [0.0000, 0.7553, 0.0000], [0.0000, 0.0000, 0.7553], [0.5000, 0.0000, 0.3831], [0.5000, 0.3831, 0.0000], [0.5000, 0.6169, 0.6169], [0.0000, 0.3333, 0.6667], [0.0000, 0.6667, 0.3333]],
  "energy_ev_per_atom": -7.060,
  "crystal_system": "hexagonal",
  "m_tot_mub_per_cell": 0.00,
  "density_g_cm3": 4.9,
  "e_form_raw_ev_per_atom": -0.68,
  "sg": "P-62m, No. 189",
  "dos_at_fermi_per_ev_cell": 4.00,
  "e_above_lowest_polymorph_ev_per_atom": 0.000
}

{
  "formula": "ZrAl6Si",
  "functional": "GGA-PBEsol",
  "state": "optimized geometry",
  "cell": [[3.7520, 0.0000, 0.0000], [0.0000, 3.7520, 0.0000], [0.0000, 0.0000, 10.7581]],
  "species": ["Al", "Al", "Al", "Al", "Al", "Al", "Zr", "Si"],
  "fractional_positions": [[0.5000, 0.5000, 0.8846], [0.5000, 0.0000, 0.3004], [0.5000, 0.5000, 0.1154], [0.5000, 0.0000, 0.6996], [0.0000, 0.5000, 0.3004], [0.0000, 0.5000, 0.6996], [0.0000, 0.0000, 0.5000], [0.0000, 0.0000, 0.0000]],
  "energy_ev_per_atom": -4.753,
  "crystal_system": "tetragonal",
  "m_tot_mub_per_cell": 0.00,
  "density_g_cm3": 3.1,
  "e_form_raw_ev_per_atom": 0.17,
  "sg": "P4/mmm, No. 123",
  "dos_at_fermi_per_ev_cell": 3.29
}

{
  "formula": "ZrAl2Si",
  "functional": "GGA-PBEsol",
  "state": "optimized geometry",
  "cell": [[4.5165, 0.0000, 0.0000], [-2.2582, 3.9114, 0.0000], [0.0000, 0.0000, 8.4095]],
  "species": ["Si", "Si", "Al", "Al", "Al", "Al", "Zr", "Zr"],
  "fractional_positions": [[0.0000, 0.0000, 0.6469], [0.0000, 0.0000, 0.3531], [0.3333, 0.6667, 0.0825], [0.6667, 0.3333, 0.9175], [0.3333, 0.6667, 0.7721], [0.6667, 0.3333, 0.2279], [0.6667, 0.3333, 0.5834], [0.3333, 0.6667, 0.4166]],
  "energy_ev_per_atom": -5.814,
  "crystal_system": "trigonal",
  "m_tot_mub_per_cell": 0.00,
  "density_g_cm3": 3.9,
  "e_form_raw_ev_per_atom": -0.06,
  "sg": "P-3m1, No. 164",
  "dos_at_fermi_per_ev_cell": 5.33
}

{
  "formula": "Zr4Al2Si",
  "functional": "GGA-PBEsol",
  "state": "optimized geometry",
  "cell": [[-2.1392, 1.9758, -0.6679], [-0.7363, -2.7574, 0.8838], [-0.2215, 5.5213, 17.0419]],
  "species": ["Zr", "Zr", "Zr", "Zr", "Si", "Al", "Al"],
  "fractional_positions": [[0.6667, 0.3333, 0.6268], [0.3333, 0.6667, 0.3732], [0.6667, 0.3333, 0.0791], [0.3333, 0.6667, 0.9209], [0.0000, 0.0000, 0.5000], [0.6667, 0.3333, 0.7846], [0.3333, 0.6667, 0.2154]],
  "energy_ev_per_atom": -7.184,
  "crystal_system": "trigonal",
  "m_tot_mub_per_cell": 0.00,
  "density_g_cm3": 5.4,
  "e_form_raw_ev_per_atom": 0.00,
  "sg": "P-3m1, No. 164",
  "dos_at_fermi_per_ev_cell": 5.45,
  "e_above_lowest_polymorph_ev_per_atom": 0.003
}

{
  "formula": "Zr2Al3Si",
  "functional": "GGA-PBEsol",
  "state": "optimized geometry",
  "cell": [[4.9943, 0.0000, 0.0000], [0.0000, 5.2194, 0.0000], [0.0000, -2.6097, 4.5201]],
  "species": ["Si", "Zr", "Zr", "Al", "Al", "Al"],
  "fractional_positions": [[0.0000, 0.0000, 0.0000], [0.0000, 0.3333, 0.6667], [0.0000, 0.6667, 0.3333], [0.5000, 0.5000, 0.0000], [0.5000, 0.0000, 0.5000], [0.5000, 0.5000, 0.5000]],
  "energy_ev_per_atom": -6.109,
  "crystal_system": "hexagonal",
  "m_tot_mub_per_cell": 0.00,
  "density_g_cm3": 4.1,
  "e_form_raw_ev_per_atom": -0.08,
  "sg": "P6/mmm, No. 191",
  "dos_at_fermi_per_ev_cell": 4.44,
  "e_above_lowest_polymorph_ev_per_atom": 0.464
}

{
  "formula": "Zr2AlSi2",
  "functional": "GGA-PBEsol",
  "state": "optimized geometry",
  "cell": [[-4.6468, 0.3835, 2.3149], [0.3832, -2.4499, -4.6782], [1.9246, -5.0985, 4.7082]],
  "species": ["Si", "Si", "Si", "Si", "Al", "Al", "Zr", "Zr", "Zr", "Zr"],
  "fractional_positions": [[0.7284, 0.7259, 0.5035], [0.2716, 0.2741, 0.4965], [0.0025, 0.2741, 0.9965], [0.9975, 0.7259, 0.0035], [0.8074, 0.0000, 0.2500], [0.1926, 0.0000, 0.7500], [0.2138, 0.6998, 0.3539], [0.7862, 0.3002, 0.6461], [0.5141, 0.3002, 0.1461], [0.4859, 0.6998, 0.8539]],
  "energy_ev_per_atom": -7.556,
  "crystal_system": "monoclinic",
  "m_tot_mub_per_cell": 0.00,
  "density_g_cm3": 5.3,
  "e_form_raw_ev_per_atom": -0.80,
  "sg": "C2/c, No. 15",
  "dos_at_fermi_per_ev_cell": 4.28
}

{
  "formula": "ZrAl3Si2",
  "functional": "GGA-PBEsol",
  "state": "optimized geometry",
  "cell": [[4.2208, 0.0000, 0.0000], [0.0000, 5.1756, 0.0000], [0.0000, -2.5878, 4.4822]],
  "species": ["Si", "Si", "Al", "Al", "Al", "Zr"],
  "fractional_positions": [[0.0000, 0.3333, 0.6667], [0.0000, 0.6667, 0.3333], [0.5000, 0.5000, 0.0000], [0.5000, 0.0000, 0.5000], [0.5000, 0.5000, 0.5000], [0.0000, 0.0000, 0.0000]],
  "energy_ev_per_atom": -5.520,
  "crystal_system": "hexagonal",
  "m_tot_mub_per_cell": 0.00,
  "density_g_cm3": 3.9,
  "e_form_raw_ev_per_atom": -0.04,
  "sg": "P6/mmm, No. 191",
  "dos_at_fermi_per_ev_cell": 3.85
}

{
  "formula": "ZrAl2Si",
  "functional": "GGA-PBEsol",
  "state": "optimized geometry",
  "cell": [[5.0626, 0.0000, 0.0000], [0.0000, 6.8818, 0.0000], [0.0000, 0.0000, 7.6489]],
  "species": ["Al", "Al", "Al", "Al", "Al", "Al", "Al", "Al", "Zr", "Zr", "Zr", "Zr", "Si", "Si", "Si", "Si"],
  "fractional_positions": [[0.5991, 0.3153, 0.4485], [0.4009, 0.6847, 0.5515], [0.9009, 0.8153, 0.0515], [0.5991, 0.3153, 0.0515], [0.0991, 0.1847, 0.9485], [0.0991, 0.1847, 0.5515], [0.4009, 0.6847, 0.9485], [0.9009, 0.8153, 0.4485], [0.1166, 0.4738, 0.2500], [0.6166, 0.0262, 0.7500], [0.8834, 0.5262, 0.7500], [0.3834, 0.9738, 0.2500], [0.6103, 0.6148, 0.2500], [0.1103, 0.8852, 0.7500], [0.3897, 0.3852, 0.7500], [0.8897, 0.1148, 0.2500]],
  "energy_ev_per_atom": -6.204,
  "crystal_system": "orthorhombic",
  "m_tot_mub_per_cell": 0.00,
  "density_g_cm3": 4.3,
  "e_form_raw_ev_per_atom": -0.45,
  "sg": "Pnma, No. 62",
  "dos_at_fermi_per_ev_cell": 4.50
}

{
  "formula": "ZrAl2Si",
  "functional": "GGA-PBEsol",
  "state": "optimized geometry",
  "cell": [[3.8854, 0.0000, 0.0000], [0.0000, 3.8854, 0.0000], [-1.9427, -1.9427, 4.2964]],
  "species": ["Si", "Zr", "Al", "Al"],
  "fractional_positions": [[0.0000, 0.0000, 0.0000], [0.2500, 0.7500, 0.5000], [0.7500, 0.2500, 0.5000], [0.5000, 0.5000, 0.0000]],
  "energy_ev_per_atom": -6.258,
  "crystal_system": "tetragonal",
  "m_tot_mub_per_cell": 0.00,
  "density_g_cm3": 4.4,
  "e_form_raw_ev_per_atom": -0.50,
  "sg": "I-4m2, No. 119",
  "dos_at_fermi_per_ev_cell": 0.77
}